1.
Material: Ba2LaRu
Method: DFT, PBE-GGA
State: optimized geometry

a b c (Å): 3.8245 3.8245 10.9120
angles (deg): 90.00 90.00 101.56
With the nearest neighbours (Å) after each atom.
Fractional coordinates of all 4 atoms:
Ba: 0.0000 0.0000 0.9167  2 Ru 3.27, 1 La 3.52
La: 0.0000 0.0000 0.5945  2 Ru 2.75
Ru: 0.5000 0.5000 0.7144  2 La 2.75
Ba: 0.5000 0.5000 0.2745  4 Ba 3.82, 2 La 4.25

Calculated values
Formation energy, eV/atom: 0.12
Volume, Å³ per atom: 39.1

***

2.
Material: Mg5HgPd8
Method: DFT, PBE-GGA
State: optimized geometry

a b c (Å): 6.7824 6.7824 6.7824
angles (deg): 109.82 108.77 109.82
With the nearest neighbours (Å) after each atom.
Fractional coordinates of all 14 atoms:
Mg: 0.7748 0.6422 0.6774  8 Pd 2.66-2.80
Hg: 0.2500 0.5000 0.7500  8 Pd 2.73-3.02
Mg: 0.8674 0.9026 0.2252  8 Pd 2.66-2.80
Mg: 0.5000 0.0000 0.5000  8 Pd 2.56-2.74
Pd: 0.6590 0.4047 0.9187  5 Mg 2.68-2.80, 3 Pd 2.85-2.99
Mg: 0.3226 0.0974 0.9649  8 Pd 2.66-2.80
Pd: 0.3241 0.2537 0.3959  5 Mg 2.56-2.75, 1 Hg 2.73
Pd: 0.9295 0.0718 0.6759  5 Mg 2.56-2.75, 1 Hg 2.73
Pd: 0.0813 0.7403 0.4860  5 Mg 2.68-2.80, 3 Pd 2.85-2.99
Pd: 0.1422 0.7463 0.0705  5 Mg 2.56-2.75, 1 Hg 2.73
Pd: 0.5140 0.5953 0.2543  5 Mg 2.68-2.80, 3 Pd 2.85-2.99
Pd: 0.7457 0.2597 0.3410  5 Mg 2.68-2.80, 3 Pd 2.85-2.99
Mg: 0.0351 0.3578 0.1326  8 Pd 2.66-2.80
Pd: 0.6041 0.9282 0.8578  5 Mg 2.56-2.75, 1 Hg 2.73

Calculated values
Formation energy, eV/atom: -0.46
Volume, Å³ per atom: 17.2

***

3.
Material: BeSi4Ag
Method: DFT, PBE-GGA
State: optimized geometry

a b c (Å): 5.0620 5.0620 5.0620
angles (deg): 60.00 60.00 60.00
With the nearest neighbours (Å) after each atom.
Fractional coordinates of all 6 atoms:
Si: 0.8765 0.3745 0.3745  6 Si 2.52-2.54
Si: 0.3745 0.3745 0.8765  6 Si 2.52-2.54
Ag: 0.7500 0.7500 0.7500  12 Si 2.97, 4 Be 3.10
Si: 0.3745 0.8765 0.3745  6 Si 2.52-2.54
Si: 0.3745 0.3745 0.3745  6 Si 2.52-2.54
Be: 0.0000 0.0000 0.0000  12 Si 2.97, 4 Ag 3.10

Calculated values
ΔE_f (raw), eV per formula unit: 4.0
Volume, Å³ per atom: 15.3

***

4.
Material: MgOsAu
Method: DFT, PBE-GGA
State: optimized geometry

a b c (Å): 2.8403 2.8403 6.9581
angles (deg): 90.00 90.00 120.00
With the nearest neighbours (Å) after each atom.
Fractional coordinates of all 3 atoms:
Au: 0.0000 0.0000 0.0069  3 Mg 2.83, 6 Au 2.84, 3 Os 2.95
Os: 0.3333 0.6667 0.6551  3 Mg 2.75, 6 Os 2.84, 3 Au 2.95
Mg: 0.6667 0.3333 0.3380  3 Os 2.75, 3 Au 2.83, 6 Mg 2.84

Calculated values
Formation energy, eV/atom: 0.22
Volume, Å³ per atom: 16.2

***

5.
Material: Tl2CuGeSe4
Method: DFT, PBE-GGA
State: optimized geometry

a b c (Å): 7.4135 7.4154 6.6186
angles (deg): 124.06 124.06 90.02
With the nearest neighbours (Å) after each atom.
Fractional coordinates of all 8 atoms:
Se: 0.3501 0.7392 0.1672  1 Ge 2.42, 1 Cu 2.42
Se: 0.7328 0.6549 0.7768  1 Ge 2.42, 1 Cu 2.42
Ge: 0.7359 0.7358 0.4717  4 Se 2.42
Tl: 0.2361 0.2360 0.4720  8 Se 3.45-3.50
Tl: 0.4853 0.9854 0.9709  4 Se 3.18-3.19
Cu: 0.9855 0.4856 0.9712  4 Se 2.42
Se: 0.8174 0.4281 0.1676  1 Ge 2.42, 1 Cu 2.42
Se: 0.0439 0.1219 0.7768  1 Ge 2.42, 1 Cu 2.42

Calculated values
ΔE_f (raw), eV per formula unit: -2.3
Volume, Å³ per atom: 27.8

***

6.
Material: Cs2SnHgBi
Method: DFT, PBE-GGA
State: optimized geometry

a b c (Å): 4.7855 10.9201 11.8909
angles (deg): 122.43 90.00 90.00
With the nearest neighbours (Å) after each atom.
Fractional coordinates of all 10 atoms:
Hg: 0.7500 0.0866 0.0760  2 Hg 2.98, 1 Sn 3.00
Cs: 0.7500 0.7323 0.6161  2 Hg 3.91, 3 Bi 3.96-4.16, 2 Sn 4.20
Cs: 0.7500 0.7432 0.1243  3 Sn 3.91-4.10, 2 Bi 4.08, 1 Hg 4.09
Hg: 0.2500 0.9134 0.9240  2 Hg 2.98, 1 Sn 3.00
Bi: 0.7500 0.4042 0.6948  2 Sn 2.99
Cs: 0.2500 0.2568 0.8757  3 Sn 3.91-4.10, 2 Bi 4.08, 1 Hg 4.09
Cs: 0.2500 0.2677 0.3839  2 Hg 3.91, 3 Bi 3.96-4.16, 2 Sn 4.20
Sn: 0.2500 0.5952 0.8185  2 Bi 2.99, 1 Hg 3.00
Sn: 0.7500 0.4048 0.1815  2 Bi 2.99, 1 Hg 3.00
Bi: 0.2500 0.5958 0.3052  2 Sn 2.99

Calculated values
Formation energy, eV/atom: -0.27
Volume, Å³ per atom: 52.5

***

7.
Material: Pr3IrC2N6
Method: DFT, PBE-GGA
State: optimized geometry

a b c (Å): 5.2766 5.2766 6.7168
angles (deg): 90.00 90.00 120.00
With the nearest neighbours (Å) after each atom.
Fractional coordinates of all 12 atoms:
N: 0.8180 0.1820 0.7261  1 C 1.38
N: 0.3640 0.1820 0.7261  1 C 1.38
N: 0.1820 0.3640 0.2739  1 C 1.38
Pr: 0.3333 0.6667 0.6724  1 C 2.61, 6 N 2.67
Pr: 0.6667 0.3333 0.3276  1 C 2.61, 6 N 2.67
C: 0.3333 0.6667 0.2839  3 N 1.38
Ir: 0.0000 0.0000 0.5000  6 N 2.25
C: 0.6667 0.3333 0.7161  3 N 1.38
N: 0.8180 0.6360 0.7261  1 C 1.38
N: 0.1820 0.8180 0.2739  1 C 1.38
N: 0.6360 0.8180 0.2739  1 C 1.38
Pr: 0.0000 0.0000 0.0000  6 N 2.48

Calculated values
ΔE_f (raw), eV per formula unit: -4.8
Volume, Å³ per atom: 13.5

***

8.
Material: TmCdCl5
Method: DFT, PBE-GGA
State: optimized geometry

a b c (Å): 7.3526 7.6533 9.5626
angles (deg): 80.39 69.66 61.29
With the nearest neighbours (Å) after each atom.
Fractional coordinates of all 14 atoms:
Cl: 0.2486 0.1739 0.9552  1 Cd 2.58, 1 Tm 2.63
Cd: 0.4582 0.0836 0.2500  4 Cl 2.52-2.58
Cl: 0.0823 0.8353 0.2500  2 Tm 2.63
Cl: 0.6481 0.2999 0.1511  1 Cd 2.52, 1 Tm 2.62
Cl: 0.9480 0.7001 0.6511  1 Cd 2.52, 1 Tm 2.62
Cl: 0.3519 0.7001 0.8489  1 Cd 2.52, 1 Tm 2.62
Cl: 0.7514 0.8261 0.0448  1 Cd 2.58, 1 Tm 2.63
Cl: 0.4225 0.8261 0.4552  1 Cd 2.58, 1 Tm 2.63
Tm: 0.0000 0.0000 0.0000  6 Cl 2.62-2.63
Cl: 0.0520 0.2999 0.3489  1 Cd 2.52, 1 Tm 2.62
Cd: 0.5418 0.9164 0.7500  4 Cl 2.52-2.58
Tm: 0.0000 0.0000 0.5000  6 Cl 2.62-2.63
Cl: 0.9177 0.1647 0.7500  2 Tm 2.63
Cl: 0.5775 0.1739 0.5448  1 Cd 2.58, 1 Tm 2.63

Calculated values
ΔE_f (raw), eV per formula unit: -12.0
Volume, Å³ per atom: 31.6

***

9.
Material: KTl4Sb4
Method: DFT, PBE-GGA
State: optimized geometry

a b c (Å): 6.8252 10.1196 10.1196
angles (deg): 90.00 90.00 90.00
With the nearest neighbours (Å) after each atom.
Fractional coordinates of all 18 atoms:
Tl: 0.3605 0.3637 0.8682  4 Sb 3.16-3.23
Sb: 0.8961 0.3220 0.8223  1 Sb 2.87, 2 Tl 3.16-3.17
Tl: 0.8605 0.6318 0.8637  4 Sb 3.16-3.23
Tl: 0.3605 0.6363 0.1318  4 Sb 3.16-3.23
Sb: 0.1039 0.8223 0.6780  1 Sb 2.87, 2 Tl 3.16-3.17
Sb: 0.6039 0.8220 0.3223  1 Sb 2.87, 2 Tl 3.16-3.17
Tl: 0.1395 0.1363 0.6318  4 Sb 3.16-3.23
Tl: 0.6395 0.8682 0.6363  4 Sb 3.16-3.23
Tl: 0.8605 0.3682 0.1363  4 Sb 3.16-3.23
Sb: 0.6039 0.1780 0.6777  1 Sb 2.87, 2 Tl 3.16-3.17
K: 0.5000 0.5000 0.5000  4 Sb 3.79, 4 Tl 4.09
K: 0.0000 0.0000 0.0000  4 Sb 3.79, 4 Tl 4.09
Tl: 0.1395 0.8637 0.3682  4 Sb 3.16-3.23
Sb: 0.3961 0.6777 0.8220  1 Sb 2.87, 2 Tl 3.16-3.17
Tl: 0.6395 0.1318 0.3637  4 Sb 3.16-3.23
Sb: 0.8961 0.6780 0.1777  1 Sb 2.87, 2 Tl 3.16-3.17
Sb: 0.1039 0.1777 0.3220  1 Sb 2.87, 2 Tl 3.16-3.17
Sb: 0.3961 0.3223 0.1780  1 Sb 2.87, 2 Tl 3.16-3.17

Calculated values
ΔE_f (raw), eV per formula unit: -0.2
Volume, Å³ per atom: 38.8

***

10.
Material: YHfMg
Method: DFT, PBE-GGA
State: optimized geometry

a b c (Å): 5.6140 5.6140 23.0423
angles (deg): 28.21 28.21 32.89
With the nearest neighbours (Å) after each atom.
Fractional coordinates of all 6 atoms:
Y: 0.1926 0.1926 0.3997  4 Y 3.18-3.45, 4 Mg 3.21-3.46, 3 Hf 3.23-3.34
Hf: 0.9305 0.9305 0.8914  3 Hf 3.13-3.18, 5 Mg 3.19-3.31, 3 Y 3.28-3.39
Y: 0.3102 0.3102 0.0655  4 Y 3.18-3.45, 6 Hf 3.28-3.39, 2 Mg 3.31
Mg: 0.0986 0.0986 0.5786  5 Mg 3.18-3.41, 3 Y 3.22-3.46, 4 Hf 3.31-3.51
Hf: 0.2499 0.2499 0.2354  3 Hf 3.13-3.18, 6 Y 3.23-3.34
Mg: 0.4777 0.4777 0.7515  5 Mg 3.18-3.41, 3 Hf 3.19, 3 Y 3.21-3.31

Calculated values
Formation energy, eV/atom: 0.26
Volume, Å³ per atom: 25.9

***

11.
Material: YTa4Cu
Method: DFT, PBE-GGA
State: optimized geometry

a b c (Å): 5.5847 5.5847 5.5847
angles (deg): 60.00 60.00 60.00
With the nearest neighbours (Å) after each atom.
Fractional coordinates of all 6 atoms:
Ta: 0.3768 0.8696 0.3768  6 Ta 2.75-2.83
Ta: 0.3768 0.3768 0.3768  6 Ta 2.75-2.83
Ta: 0.3768 0.3768 0.8696  6 Ta 2.75-2.83
Ta: 0.8696 0.3768 0.3768  6 Ta 2.75-2.83
Cu: 0.0000 0.0000 0.0000  12 Ta 3.28, 4 Y 3.42
Y: 0.7500 0.7500 0.7500  12 Ta 3.27, 4 Cu 3.42

Calculated values
Formation energy, eV/atom: 0.47
Volume, Å³ per atom: 20.5

***

12.
Material: ZnFe2Rh2
Method: DFT, PBE-GGA
State: optimized geometry

a b c (Å): 7.1158 7.1158 2.8501
angles (deg): 90.00 90.00 90.00
With the nearest neighbours (Å) after each atom.
Fractional coordinates of all 10 atoms:
Rh: 0.3594 0.8594 0.0000  6 Fe 2.48-2.56, 2 Zn 2.75
Zn: 0.0000 0.0000 0.0000  4 Rh 2.75, 2 Zn 2.85, 8 Fe 3.04
Rh: 0.6406 0.1406 0.0000  6 Fe 2.48-2.56, 2 Zn 2.75
Fe: 0.6574 0.8426 0.5000  6 Rh 2.48-2.56
Fe: 0.3426 0.1574 0.5000  6 Rh 2.48-2.56
Rh: 0.8594 0.6406 0.0000  6 Fe 2.48-2.56, 2 Zn 2.75
Rh: 0.1406 0.3594 0.0000  6 Fe 2.48-2.56, 2 Zn 2.75
Fe: 0.8426 0.3426 0.5000  6 Rh 2.48-2.56
Fe: 0.1574 0.6574 0.5000  6 Rh 2.48-2.56
Zn: 0.5000 0.5000 0.0000  4 Rh 2.75, 2 Zn 2.85, 8 Fe 3.04

Calculated values
Formation energy, eV/atom: 0.06
Volume, Å³ per atom: 14.4